Below is an optimized crystal structure of RuAu2Cl, with properties calculated at the GGA-PBE level.

Cell lengths 3.8902, 3.8902, 9.7725 Å; angles 90.00, 90.00, 90.00 degrees
Last column: nearest neighbours and their distance in Å.
Space group I4/mmm (No. 139)
Asymmetric unit:
Ru (0.0000, 0.0000, 0.0000) [2 per cell]  4 Cl 2.75
Au (0.0000, 0.5000, 0.2500) [4 per cell]  4 Au 2.75
Cl (0.0000, 0.0000, 0.5000) [2 per cell]  4 Ru 2.75

Mass density: 11912 kg/m³
Energy: -29.4 eV per cell
Formation energy from raw total energies: 0.740 eV/atom
Excess energy over the best structure of this formula in the dataset: 459 meV/atom
DOS at the Fermi energy: 4.94 states/eV/f.u.